# PmTmGa2 | Alexandria via LeMat-Bulk | PBE | optimized geometry
# - energy of formation (meV/atom) = -607
data_PmTmGa2
_cell_length_a 4.3822
_cell_length_b 4.0787
_cell_length_c 5.9132
_cell_angle_alpha 90.00
_cell_angle_beta 111.72
_cell_angle_gamma 90.00
_symmetry_space_group_name_H-M 'P 1 m 1'
_symmetry_Int_Tables_number 6
loop_
_symmetry_equiv_pos_as_xyz
'x,y,z'
'x,-y,z'
loop_
_atom_site_label
_atom_site_type_symbol
_atom_site_fract_x
_atom_site_fract_y
_atom_site_fract_z
Pm1 Pm 0.0000 0.0000 0.0000
Tm1 Tm 0.2770 0.5000 0.5565
Ga1 Ga 0.5682 0.5000 0.1358
Ga2 Ga 0.7173 0.0000 0.4377


# Ho4UN4 | Alexandria via LeMat-Bulk | PBE | optimized geometry
# - energy relative to the lowest polymorph listed for this composition (eV/atom) = 0.000
# - formation energy without anion corrections (eV/atom) = -1.37
data_Ho4UN4
_cell_length_a 7.7055
_cell_length_b 7.7055
_cell_length_c 4.9133
_cell_angle_alpha 90.00
_cell_angle_beta 90.00
_cell_angle_gamma 90.00
_symmetry_space_group_name_H-M 'I 4/m'
_symmetry_Int_Tables_number 87
_symmetry_space_group_name_Hall '-I 4'
loop_
_atom_site_label
_atom_site_type_symbol
_atom_site_fract_x
_atom_site_fract_y
_atom_site_fract_z
Ho1 Ho 0.1033 0.6925 0.0000
U1 U 0.0000 0.0000 0.5000
N1 N 0.0920 0.7150 0.5000